HgAsRh3 | PBE-GGA | relaxed

Cell: 4.557 4.557 4.557 Å, 90.00 90.00 90.00°
Space group Pm-3m (No. 221)
One atom of each set of equivalent atoms:
Hg  0.000  0.000  0.000 [1 per cell]
As  0.500  0.500  0.500 [1 per cell]
Rh  0.000  0.500  0.500 [3 per cell]

Properties
Its energy relative to the elements is 0.293 eV per atom. Its calculated density is 10.25 g/cm3. The calculation puts the relative energy among the computed polymorphs at 0 meV/atom.